Entry from Alexandria via LeMat-Bulk: FePd3Au3 after structural relaxation (PBE).

Summary:
* SG: C2/m, No. 12
* V: 17.30 Å³/atom
* VASP energy: -4.819 eV per atom
* size of the total moment: 8.354 μB/cell

Cell: 5.6557 5.6557 7.6161 Å, 90.01 90.01 83.79°
Each line ends with the local moment (μB).
Atoms (fractional coordinates):
Fe 0.2259 0.2259 0.9996  3.31
Fe 0.7741 0.7741 0.0004  3.31
Pd 0.9999 0.9999 0.7735  0.28
Pd 0.4998 0.0005 0.2310  0.24
Pd 0.0005 0.4998 0.2310  0.24
Pd 0.5002 0.9995 0.7690  0.24
Pd 0.9995 0.5002 0.7690  0.24
Pd 0.0001 0.0001 0.2265  0.28
Au 0.2453 0.2453 0.5004  0.01
Au 0.2648 0.7352 0.5000  0.03
Au 0.7352 0.2648 0.5000  0.03
Au 0.3087 0.6913 0.0000  0.06
Au 0.6913 0.3087 0.0000  0.06
Au 0.7547 0.7547 0.4996  0.01